[1]
## KDyPN3 (PBE)

Data for an optimized crystal structure of KDyPN3.

Lattice parameters (Å, degrees): 6.4331 6.4331 7.8063 105.67 105.67 34.13
With the nearest neighbours (Å) after each atom.
Positions (direct):
K 0.1462 0.1462 0.0600  7 N 2.74-3.02
K 0.8538 0.8538 0.9400  7 N 2.74-3.02
Dy 0.1486 0.1486 0.5722  7 N 2.36-2.50
Dy 0.8514 0.8514 0.4278  7 N 2.36-2.50
P 0.4901 0.4901 0.7348  2 N 1.67-1.69
P 0.5099 0.5099 0.2652  2 N 1.67-1.69
N 0.0085 0.0085 0.2945  2 P 1.90
N 0.3491 0.3491 0.6364  1 P 1.69
N 0.3712 0.3712 0.2457  1 P 1.67
N 0.6288 0.6288 0.7543  1 P 1.67
N 0.6509 0.6509 0.3636  1 P 1.69
N 0.9915 0.9915 0.7055  2 P 1.90

## Properties
**Uncorrected formation energy**: -0.42 eV/atom

***

[2]
## ScAg (PBE)

Data for an optimized crystal structure of ScAg.

Lattice parameters (Å, degrees): 3.2910 3.2910 4.5388 90.00 90.00 120.00
With the nearest neighbours (Å) after each atom.
Positions (direct):
Sc 0.0000 0.0000 0.0000  6 Ag 2.96, 6 Sc 3.29
Ag 0.3333 0.6667 0.5000  6 Sc 2.96, 6 Ag 3.29

## Properties
**Calculated total energy**: -9.3 eV per formula unit

***

[3]
## Tl11Te5I (PBE)

Data for an optimized crystal structure of Tl11Te5I.

Lattice parameters (Å, degrees): 9.7880 9.7880 7.5564 104.60 104.60 95.01
With the nearest neighbours (Å) after each atom.
Positions (direct):
Tl 0.0000 0.0000 0.0000  4 Te 3.42, 2 I 3.78
Tl 0.1718 0.7012 0.2490  3 Te 3.19-3.55, 1 Tl 3.53
Tl 0.1799 0.4101 0.6152  2 Te 3.14-3.33, 1 Tl 3.32
Tl 0.2988 0.8282 0.7510  3 Te 3.19-3.55, 1 Tl 3.53
Tl 0.3109 0.3109 0.0844  3 Te 3.20-3.31
Tl 0.4101 0.1799 0.6152  2 Te 3.14-3.33, 1 Tl 3.32
Tl 0.5899 0.8201 0.3848  2 Te 3.14-3.33, 1 Tl 3.32
Tl 0.6891 0.6891 0.9156  3 Te 3.20-3.31
Tl 0.7012 0.1718 0.2490  3 Te 3.19-3.55, 1 Tl 3.53
Tl 0.8201 0.5899 0.3848  2 Te 3.14-3.33, 1 Tl 3.32
Tl 0.8282 0.2988 0.7510  3 Te 3.19-3.55, 1 Tl 3.53
Te 0.0058 0.3583 0.1869  6 Tl 3.14-3.46
Te 0.3583 0.0058 0.1869  6 Tl 3.14-3.46
Te 0.5000 0.5000 0.5000  6 Tl 3.20-3.55
Te 0.6417 0.9942 0.8131  6 Tl 3.14-3.46
Te 0.9942 0.6417 0.8131  6 Tl 3.14-3.46
I 0.0000 0.0000 0.5000  10 Tl 3.78-4.03

## Properties
**Uncorrected formation energy**: -0.27 eV/atom

***

[4]
## InSbP (PBE)

Data for an optimized crystal structure of InSbP.

Lattice parameters (Å, degrees): 6.4163 6.4163 6.4163 147.86 147.86 46.08
With the nearest neighbours (Å) after each atom.
Positions (direct):
In 0.0000 0.0000 0.0000  4 P 3.29, 5 Sb 3.30-3.62, 4 In 3.55
Sb 0.7206 0.7206 0.0000  4 P 2.77
P 0.3195 0.3195 0.0000  4 Sb 2.77

## Properties
**Uncorrected formation energy**: 0.19 eV/atom

***

[5]
## CrSb3As (PBE)

Data for an optimized crystal structure of CrSb3As.

Lattice parameters (Å, degrees): 4.9795 4.9795 4.9795 90.00 90.00 90.00
With the nearest neighbours (Å) after each atom.
Positions (direct):
Cr 0.0000 0.0000 0.0000  6 Sb 2.49
Sb 0.0000 0.0000 0.5000  2 Cr 2.49
Sb 0.0000 0.5000 0.0000  2 Cr 2.49
Sb 0.5000 0.0000 0.0000  2 Cr 2.49
As 0.5000 0.5000 0.5000  12 Sb 3.52

## Properties
**Uncorrected formation energy**: 0.50 eV/atom

***

[6]
## Sc3FeH (PBE)

Data for an optimized crystal structure of Sc3FeH.

Lattice parameters (Å, degrees): 4.2881 4.2881 4.2881 90.00 90.00 90.00
With the nearest neighbours (Å) after each atom.
Positions (direct):
Sc 0.0000 0.0000 0.5000  2 H 2.14
Sc 0.0000 0.5000 0.0000  2 H 2.14
Sc 0.5000 0.0000 0.0000  2 H 2.14
Fe 0.5000 0.5000 0.5000  12 Sc 3.03
H 0.0000 0.0000 0.0000  6 Sc 2.14

## Properties
**Calculated total energy**: -30.7 eV per formula unit

***

[7]
## SrPa3Cr4N12 (PBE)

Data for an optimized crystal structure of SrPa3Cr4N12.

Lattice parameters (Å, degrees): 7.1383 7.1383 7.1383 104.95 104.95 104.95
With the nearest neighbours (Å) after each atom.
Positions (direct):
Sr 0.0000 0.0000 0.0000  6 N 2.74
Pa 0.0000 0.5485 0.4515  6 N 2.25-2.29
Pa 0.4515 0.0000 0.5485  6 N 2.25-2.29
Pa 0.5485 0.4515 0.0000  6 N 2.25-2.29
Cr 0.0499 0.5000 0.9501  3 N 1.71-1.76
Cr 0.5000 0.5000 0.5000  3 N 1.76
Cr 0.5000 0.9501 0.0499  3 N 1.71-1.76
Cr 0.9501 0.0499 0.5000  3 N 1.71-1.76
N 0.0376 0.6395 0.7884  1 Cr 1.71
N 0.1052 0.8948 0.5000  1 Cr 1.76
N 0.2116 0.3605 0.9624  1 Cr 1.71
N 0.3447 0.6553 0.5000  1 Cr 1.76
N 0.3605 0.9624 0.2116  1 Cr 1.71
N 0.5000 0.1052 0.8948  1 Cr 1.76
N 0.5000 0.3447 0.6553  1 Cr 1.76
N 0.6395 0.7884 0.0376  1 Cr 1.71
N 0.6553 0.5000 0.3447  1 Cr 1.76
N 0.7884 0.0376 0.6395  1 Cr 1.71
N 0.8948 0.5000 0.1052  1 Cr 1.76
N 0.9624 0.2116 0.3605  1 Cr 1.71

## Properties
**Uncorrected formation energy**: -0.65 eV/atom